Below is a geometry-optimized CoSiSO2 structure, with properties calculated at the GGA+U level.

Energy   -0.3372 Ry per atom
Size of the total moment   1.58 μB per formula unit
Density of states at the Fermi level   0.565 states/eV per atom
Space-group type   P4/mmm

abc: 3.531 4.953 3.531
angles: 90.00 90.00 90.00
Fractional positions:
1 S 0.000 0.000 0.000
2 Co 0.500 0.500 0.500
3 Si 0.000 0.500 0.000
4 O 0.000 0.000 0.500
5 O 0.500 0.000 0.000